Entry 1:
DFT (GGA-PBE) results for Hg2AsIr after structural relaxation.

Output
The value obtained for the formation energy from the elements is 520 meV/atom. The symmetry is No. 65.

a b c (Å): 3.000 3.000 10.250
angles (deg): 90.00 90.00 121.48
Element x y z (fractional)
1 Hg 0.000 0.000 0.234
2 Hg 0.000 0.000 0.766
3 As 0.500 0.500 0.500
4 Ir 0.500 0.500 0.000

***

Entry 2:
DFT (GGA-PBE) results for Hg3AsIr after structural relaxation.

Output
The value obtained for the formation energy from the elements is 1204 meV/atom. The symmetry is No. 221.

a b c (Å): 5.254 5.254 5.254
angles (deg): 90.00 90.00 90.00
Element x y z (fractional)
1 Hg 0.000 0.000 0.500
2 Hg 0.000 0.500 0.000
3 Hg 0.500 0.000 0.000
4 As 0.000 0.000 0.000
5 Ir 0.500 0.500 0.500

***

Entry 3:
DFT (GGA-PBE) results for Hg2AsIr after structural relaxation.

Output
The value obtained for the formation energy from the elements is 541 meV/atom. The symmetry is No. 47.

a b c (Å): 3.100 4.946 5.006
angles (deg): 90.00 90.00 90.00
Element x y z (fractional)
1 Hg 0.000 0.000 0.000
2 Hg 0.500 0.000 0.500
3 As 0.000 0.500 0.500
4 Ir 0.500 0.500 0.000

***

Entry 4:
DFT (GGA-PBE) results for HgAsIr after structural relaxation.

Output
The value obtained for the formation energy from the elements is 1 meV/atom. The symmetry is No. 1.

a b c (Å): 3.487 6.123 6.753
angles (deg): 109.79 104.29 94.00
Element x y z (fractional)
1 Hg 0.000 0.000 0.000
2 Hg 0.455 0.929 0.537
3 As 0.738 0.578 0.993
4 As 0.934 0.399 0.456
5 Ir 0.103 0.315 0.780
6 Ir 0.341 0.471 0.246

***

Entry 5:
DFT (GGA-PBE) results for Hg2AsIr after structural relaxation.

Output
The value obtained for the formation energy from the elements is 161 meV/atom. The symmetry is No. 122.

a b c (Å): 7.815 7.815 7.815
angles (deg): 94.95 94.95 145.82
Element x y z (fractional)
1 Hg 0.375 0.126 0.251
2 Hg 0.874 0.125 0.249
3 Hg 0.875 0.124 0.749
4 Hg 0.876 0.625 0.751
5 As 0.250 0.750 0.500
6 As 0.500 0.500 0.000
7 Ir 0.000 0.000 0.000
8 Ir 0.750 0.250 0.500

***

Entry 6:
DFT (GGA-PBE) results for Hg2AsIr after structural relaxation.

Output
The value obtained for the formation energy from the elements is 617 meV/atom. The symmetry is No. 123.

a b c (Å): 4.934 4.934 3.158
angles (deg): 90.00 90.00 90.00
Element x y z (fractional)
1 Hg 0.000 0.500 0.000
2 Hg 0.500 0.000 0.000
3 As 0.000 0.000 0.500
4 Ir 0.500 0.500 0.500